The following is a DFT calculation (GGA-PBE) of crystalline PmPuCd4 at its relaxed geometry.

```
PmPuCd4
1.0
5.124 -0.002 0.001
0.002 6.186 2.243
-0.001 0.074 9.448
Cd Pm Pu
8 2 2
direct
0.250 0.460 0.083 Cd
0.250 0.957 0.083 Cd
0.250 0.298 0.417 Cd
0.250 0.785 0.417 Cd
0.750 0.215 0.583 Cd
0.750 0.702 0.583 Cd
0.750 0.540 0.917 Cd
0.750 0.043 0.917 Cd
0.250 0.877 0.747 Pm
0.750 0.123 0.253 Pm
0.250 0.373 0.754 Pu
0.750 0.627 0.246 Pu
```

Density of states at the Fermi level (states/eV/f.u.): 12.148
Distance to the lowest polymorph of the same formula (eV per formula unit): 0.000
DFT formation energy (eV/atom): -0.2020
Symmetry: Cmcm (63)